[1]
Below is an optimized crystal structure of RbSiSe3, with properties calculated at the PBE-GGA level. Values from VASP.

Geometry as Quantum ESPRESSO input:
```
&SYSTEM
  ibrav = 0, nat = 5, ntyp = 3
/
ATOMIC_SPECIES
Si 28.09 Si.upf
Se 78.96 Se.upf
Rb 85.47 Rb.upf
ATOMIC_POSITIONS crystal
Si 0.000 0.000 0.000
Se 0.000 0.500 0.000
Se 0.000 0.000 0.500
Se 0.500 0.000 0.000
Rb 0.500 0.500 0.500
CELL_PARAMETERS angstrom
-4.673 0.957 1.674
1.595 -0.548 4.766
1.083 4.934 0.205
```

---

[2]
! Rb3SiSe3 (PBE-GGA, optimized geometry); values from VASP
&SYSTEM
  ibrav = 0, nat = 28, ntyp = 3
/
ATOMIC_SPECIES
Rb 85.47 Rb.upf
Si 28.09 Si.upf
Se 78.96 Se.upf
ATOMIC_POSITIONS crystal
Rb 0.750 0.733 0.794
Rb 0.250 0.767 0.294
Rb 0.250 0.267 0.206
Rb 0.750 0.233 0.706
Rb 0.750 0.125 0.017
Rb 0.250 0.375 0.517
Rb 0.250 0.875 0.983
Rb 0.750 0.625 0.483
Rb 0.750 0.912 0.600
Rb 0.250 0.588 0.100
Rb 0.250 0.088 0.400
Rb 0.750 0.412 0.900
Si 0.750 0.944 0.205
Si 0.250 0.556 0.705
Si 0.250 0.056 0.795
Si 0.750 0.444 0.295
Se 0.750 0.989 0.825
Se 0.250 0.511 0.325
Se 0.250 0.011 0.175
Se 0.750 0.489 0.675
Se 0.750 0.916 0.363
Se 0.250 0.584 0.863
Se 0.250 0.084 0.637
Se 0.750 0.416 0.137
Se 0.750 0.796 0.130
Se 0.250 0.704 0.630
Se 0.250 0.204 0.870
Se 0.750 0.296 0.370
CELL_PARAMETERS angstrom
-2.119 -4.144 1.276
11.555 -3.799 6.857
-5.158 6.405 12.239
! - Energy relative to the lowest polymorph listed for this composition: 0.0000 eV per atom

---

[3]
Below is an optimized crystal structure of Rb5Si2Se6, with properties calculated at the PBE-GGA level. Values from VASP.

Geometry as Quantum ESPRESSO input:
```
&SYSTEM
  ibrav = 0, nat = 26, ntyp = 3
/
ATOMIC_SPECIES
Rb 85.47 Rb.upf
Si 28.09 Si.upf
Se 78.96 Se.upf
ATOMIC_POSITIONS crystal
Rb 0.686 0.215 0.999
Rb 0.785 0.314 0.501
Rb 0.314 0.785 0.001
Rb 0.215 0.686 0.499
Rb 0.749 0.933 0.722
Rb 0.067 0.251 0.778
Rb 0.251 0.067 0.278
Rb 0.933 0.749 0.222
Rb 0.365 0.635 0.750
Rb 0.635 0.365 0.250
Si 0.365 0.088 0.572
Si 0.912 0.635 0.928
Si 0.635 0.912 0.428
Si 0.088 0.365 0.072
Se 0.113 0.023 0.625
Se 0.977 0.887 0.875
Se 0.887 0.977 0.375
Se 0.023 0.113 0.125
Se 0.401 0.296 0.637
Se 0.704 0.599 0.863
Se 0.599 0.704 0.363
Se 0.296 0.401 0.137
Se 0.637 0.800 0.565
Se 0.200 0.363 0.935
Se 0.363 0.200 0.435
Se 0.800 0.637 0.065
CELL_PARAMETERS angstrom
7.907 0.085 1.048
3.110 7.270 1.048
0.668 0.446 17.794
```

---

[4]
! RbSi2Se2 (PBE-GGA, optimized geometry); values from VASP
&SYSTEM
  ibrav = 0, nat = 10, ntyp = 3
/
ATOMIC_SPECIES
Si 28.09 Si.upf
Se 78.96 Se.upf
Rb 85.47 Rb.upf
ATOMIC_POSITIONS crystal
Si 0.408 0.908 0.000
Si 0.908 0.592 0.000
Si 0.592 0.092 0.000
Si 0.092 0.408 0.000
Se 0.142 0.642 0.500
Se 0.642 0.858 0.500
Se 0.858 0.358 0.500
Se 0.358 0.142 0.500
Rb 0.000 0.000 0.000
Rb 0.500 0.500 0.000
CELL_PARAMETERS angstrom
8.881 0.000 0.000
0.000 8.881 0.000
0.000 0.000 3.494
! - Energy relative to the lowest polymorph listed for this composition: 0.1135 eV per atom

---

We obtain raw formation energy values of -0.26 -0.91 -0.92 -0.02 eV/atom for the records listed above, in that order.